The following is a meta-GGA SCAN calculation of a PBEsol-optimized structure of FeSi2P, from the Alexandria database.

```
data_FeSi2P
_chemical_formula_sum 'Fe1 Si2 P1'
_cell_length_a 3.132
_cell_length_b 3.939
_cell_length_c 4.013
_cell_angle_alpha 90.00
_cell_angle_beta 90.00
_cell_angle_gamma 90.00
_space_group_name_H-M_alt 'P m m m'
_space_group_IT_number 47
_space_group_name_Hall '-P 2 2'
loop_
_atom_site_label
_atom_site_fract_x
_atom_site_fract_y
_atom_site_fract_z
Fe1 0.000 0.000 0.000
Si1 0.000 0.500 0.500
Si2 0.500 0.500 0.000
P1 0.500 0.000 0.500
```

Output
Its total energy is -11.64 eV per atom. The density of states at the Fermi level is 2.1 states/eV/cell. As for the total moment: 2.30 Bohr magnetons per cell. Its formation energy without anion corrections is 0.505 eV/atom.

The following is a meta-GGA SCAN calculation of a PBEsol-optimized structure of FeSiP, from the Alexandria database.

```
data_FeSiP
_chemical_formula_sum 'Fe2 Si2 P2'
_cell_length_a 3.105
_cell_length_b 3.105
_cell_length_c 7.108
_cell_angle_alpha 90.00
_cell_angle_beta 90.00
_cell_angle_gamma 90.00
_space_group_name_H-M_alt 'I 4 m m'
_space_group_IT_number 107
_space_group_name_Hall 'I 4 -2'
loop_
_atom_site_label
_atom_site_fract_x
_atom_site_fract_y
_atom_site_fract_z
Fe1 0.000 0.000 0.000
Si1 0.000 0.000 0.657
P1 0.000 0.000 0.327
```

Output
Its total energy is -12.63 eV per atom. The density of states at the Fermi level is 3.7 states/eV/cell. As for the total moment: 0.02 Bohr magnetons per cell. Its formation energy without anion corrections is 0.218 eV/atom.

The following is a meta-GGA SCAN calculation of a PBEsol-optimized structure of FeSi2P, from the Alexandria database.

```
data_FeSi2P
_chemical_formula_sum 'Fe4 Si8 P4'
_cell_length_a 4.854
_cell_length_b 5.113
_cell_length_c 8.588
_cell_angle_alpha 90.00
_cell_angle_beta 90.00
_cell_angle_gamma 90.00
_space_group_name_H-M_alt 'F m m m'
_space_group_IT_number 69
_space_group_name_Hall '-F 2 2'
loop_
_atom_site_label
_atom_site_fract_x
_atom_site_fract_y
_atom_site_fract_z
Fe1 0.000 0.000 0.000
Si1 0.000 0.250 0.250
P1 0.000 0.000 0.500
```

Output
Its total energy is -11.85 eV per atom. The density of states at the Fermi level is 8.6 states/eV/cell. As for the total moment: 9.91 Bohr magnetons per cell. Its formation energy without anion corrections is 0.288 eV/atom.

The following is a meta-GGA SCAN calculation of a PBEsol-optimized structure of SmFeP, from the Alexandria database.

```
data_SmFeP
_chemical_formula_sum 'Sm2 Fe2 P2'
_cell_length_a 3.763
_cell_length_b 3.763
_cell_length_c 7.346
_cell_angle_alpha 90.00
_cell_angle_beta 90.00
_cell_angle_gamma 90.00
_space_group_name_H-M_alt 'P 4/n m m'
_space_group_IT_number 129
loop_
_space_group_symop_operation_xyz
'x,y,z'
'-x,-y,-z'
'-y+1/2,x,z'
'y+1/2,-x,-z'
'-x+1/2,-y+1/2,z'
'x+1/2,y+1/2,-z'
'y,-x+1/2,z'
'-y,x+1/2,-z'
'x+1/2,-y,-z'
'-x+1/2,y,z'
'-y,-x,-z'
'y,x,z'
'-x,y+1/2,-z'
'x,-y+1/2,z'
'y+1/2,x+1/2,-z'
'-y+1/2,-x+1/2,z'
loop_
_atom_site_label
_atom_site_fract_x
_atom_site_fract_y
_atom_site_fract_z
Sm1 0.250 0.250 0.190
Fe1 0.250 0.750 0.500
P1 0.250 0.250 0.659
```

Output
Its total energy is -25.26 eV per atom. For the formation energy, the calculation gives -940 meV/atom. The density of states at the Fermi level is 0.4 states/eV/cell. As for the total moment: 0.00 Bohr magnetons per cell.

The following is a meta-GGA SCAN calculation of a PBEsol-optimized structure of SrFe2P, from the Alexandria database.

```
data_SrFe2P
_chemical_formula_sum 'Sr2 Fe4 P2'
_cell_length_a 3.883
_cell_length_b 5.581
_cell_length_c 7.009
_cell_angle_alpha 90.00
_cell_angle_beta 90.00
_cell_angle_gamma 90.00
_space_group_name_H-M_alt 'I m m 2'
_space_group_IT_number 44
_space_group_name_Hall 'I 2 -2'
loop_
_atom_site_label
_atom_site_fract_x
_atom_site_fract_y
_atom_site_fract_z
Sr1 0.000 0.000 0.000
Fe1 0.000 0.000 0.534
Fe2 0.000 0.500 0.846
P1 0.000 0.500 0.177
```

Output
Its total energy is -17.06 eV per atom. For the formation energy, the calculation gives 171 meV/atom. The density of states at the Fermi level is 2.2 states/eV/cell. As for the total moment: 9.41 Bohr magnetons per cell.

The following is a meta-GGA SCAN calculation of a PBEsol-optimized structure of SrFeP2, from the Alexandria database.

```
data_SrFeP2
_chemical_formula_sum 'Sr1 Fe1 P2'
_cell_length_a 4.360
_cell_length_b 4.360
_cell_length_c 3.836
_cell_angle_alpha 90.00
_cell_angle_beta 90.00
_cell_angle_gamma 90.00
_space_group_name_H-M_alt 'P 4/m m m'
_space_group_IT_number 123
_space_group_name_Hall '-P 4 2'
loop_
_atom_site_label
_atom_site_fract_x
_atom_site_fract_y
_atom_site_fract_z
Sr1 0.000 0.000 0.000
Fe1 0.500 0.500 0.000
P1 0.000 0.500 0.500
```

Output
Its total energy is -15.19 eV per atom. For the formation energy, the calculation gives 109 meV/atom. The density of states at the Fermi level is 2.7 states/eV/cell. As for the total moment: 3.48 Bohr magnetons per cell. The value obtained for the relative energy among the computed polymorphs is 653 meV/atom.

The following is a meta-GGA SCAN calculation of a PBEsol-optimized structure of SrFeP2, from the Alexandria database.

```
data_SrFeP2
_chemical_formula_sum 'Sr2 Fe2 P4'
_cell_length_a 3.967
_cell_length_b 3.967
_cell_length_c 9.305
_cell_angle_alpha 90.00
_cell_angle_beta 90.00
_cell_angle_gamma 90.00
_space_group_name_H-M_alt 'I -4 m 2'
_space_group_IT_number 119
_space_group_name_Hall 'I -4 -2'
loop_
_atom_site_label
_atom_site_fract_x
_atom_site_fract_y
_atom_site_fract_z
Sr1 0.000 0.000 0.000
Fe1 0.000 0.500 0.250
P1 0.000 0.000 0.500
P2 0.000 0.500 0.750
```

Output
Its total energy is -15.09 eV per atom. For the formation energy, the calculation gives 213 meV/atom. The density of states at the Fermi level is 7.2 states/eV/cell. As for the total moment: 6.72 Bohr magnetons per cell. The value obtained for the relative energy among the computed polymorphs is 757 meV/atom.

The following is a meta-GGA SCAN calculation of a PBEsol-optimized structure of SrFeP, from the Alexandria database.

```
data_SrFeP
_chemical_formula_sum 'Sr1 Fe1 P1'
_cell_length_a 3.8999
_cell_length_b 3.8999
_cell_length_c 4.5162
_cell_angle_alpha 90.00
_cell_angle_beta 90.00
_cell_angle_gamma 120.00
_space_group_name_H-M_alt 'P -6 m 2'
_space_group_IT_number 187
_space_group_name_Hall 'P -6 2'
loop_
_atom_site_label
_atom_site_fract_x
_atom_site_fract_y
_atom_site_fract_z
Sr1 0.0000 0.0000 0.0000
Fe1 0.6667 0.3333 0.5000
P1 0.3333 0.6667 0.5000
```

Output
Its total energy is -17.51 eV per atom. For the formation energy, the calculation gives -571 meV/atom. The density of states at the Fermi level is 2.8 states/eV/cell. As for the total moment: 2.72 Bohr magnetons per cell.

The following is a meta-GGA SCAN calculation of a PBEsol-optimized structure of SrFe2P, from the Alexandria database.

```
data_SrFe2P
_chemical_formula_sum 'Sr3 Fe6 P3'
_cell_length_a 3.8837
_cell_length_b 3.8837
_cell_length_c 16.0512
_cell_angle_alpha 90.00
_cell_angle_beta 90.00
_cell_angle_gamma 120.00
_space_group_name_H-M_alt 'R 3 m'
_space_group_IT_number 160
_space_group_name_Hall 'R 3 -2"'
loop_
_atom_site_label
_atom_site_fract_x
_atom_site_fract_y
_atom_site_fract_z
Sr1 0.0000 0.0000 0.0000
Fe1 0.0000 0.0000 0.4989
Fe2 0.0000 0.0000 0.8077
P1 0.0000 0.0000 0.1928
```

Output
Its total energy is -17.55 eV per atom. For the formation energy, the calculation gives -319 meV/atom. The density of states at the Fermi level is 8.2 states/eV/cell. As for the total moment: 10.72 Bohr magnetons per cell.

The following is a meta-GGA SCAN calculation of a PBEsol-optimized structure of Sr2FeP, from the Alexandria database.

```
data_Sr2FeP
_chemical_formula_sum 'Sr2 Fe1 P1'
_cell_length_a 4.216
_cell_length_b 4.216
_cell_length_c 6.190
_cell_angle_alpha 90.00
_cell_angle_beta 90.00
_cell_angle_gamma 90.00
_space_group_name_H-M_alt 'P 4 m m'
_space_group_IT_number 99
_space_group_name_Hall 'P 4 -2'
loop_
_atom_site_label
_atom_site_fract_x
_atom_site_fract_y
_atom_site_fract_z
Sr1 0.000 0.000 0.000
Sr2 0.500 0.500 0.398
Fe1 0.000 0.000 0.543
P1 0.500 0.500 0.879
```

Output
Its total energy is -18.23 eV per atom. For the formation energy, the calculation gives 40 meV/atom. The density of states at the Fermi level is 0.5 states/eV/cell. As for the total moment: 3.00 Bohr magnetons per cell.

The following is a meta-GGA SCAN calculation of a PBEsol-optimized structure of SrFeP2, from the Alexandria database.

```
data_SrFeP2
_chemical_formula_sum 'Sr2 Fe2 P4'
_cell_length_a 6.269
_cell_length_b 3.877
_cell_length_c 6.083
_cell_angle_alpha 90.00
_cell_angle_beta 108.90
_cell_angle_gamma 90.00
_space_group_name_H-M_alt 'C 1 m 1'
_space_group_IT_number 8
_space_group_name_Hall 'C -2y'
loop_
_atom_site_label
_atom_site_fract_x
_atom_site_fract_y
_atom_site_fract_z
Sr1 0.000 0.000 0.000
Fe1 0.176 0.000 0.553
P1 0.044 0.500 0.633
P2 0.271 0.500 0.377
```

Output
Its total energy is -15.83 eV per atom. For the formation energy, the calculation gives -528 meV/atom. The density of states at the Fermi level is 2.5 states/eV/cell. As for the total moment: 0.00 Bohr magnetons per cell. The value obtained for the relative energy among the computed polymorphs is 17 meV/atom.

The following is a meta-GGA SCAN calculation of a PBEsol-optimized structure of Sr2FeP, from the Alexandria database.

```
data_Sr2FeP
_chemical_formula_sum 'Sr4 Fe2 P2'
_cell_length_a 4.111
_cell_length_b 4.535
_cell_length_c 10.755
_cell_angle_alpha 90.00
_cell_angle_beta 90.00
_cell_angle_gamma 90.00
_space_group_name_H-M_alt 'A m m 2'
_space_group_IT_number 38
_space_group_name_Hall 'A 2 -2'
loop_
_atom_site_label
_atom_site_fract_x
_atom_site_fract_y
_atom_site_fract_z
Sr1 0.000 0.000 0.000
Sr2 0.500 0.000 0.287
Fe1 0.000 0.000 0.680
P1 0.500 0.000 0.598
```

Output
Its total energy is -18.62 eV per atom. For the formation energy, the calculation gives -350 meV/atom. The density of states at the Fermi level is 7.3 states/eV/cell. As for the total moment: 3.47 Bohr magnetons per cell.